Record 1
# CsTaSn3

A relaxed CsTaSn3 crystal (GGA-PBE, the Alexandria database).

Energy above the most stable polymorph in this dataset ... 12.03 eV per formula unit
Space group ... Pm-3m
E ... -2.5017 eV/atom
Mass density ... 5.68 Mg/m³

Cell lengths 5.8082, 5.8082, 5.8082 Å; angles 90.00, 90.00, 90.00 degrees
Atoms (fractional coordinates):
Cs 0.0000 0.0000 0.0000
Ta 0.5000 0.5000 0.5000
Sn 0.0000 0.0000 0.5000
Sn 0.0000 0.5000 0.0000
Sn 0.5000 0.0000 0.0000

---

Record 2
# LaPm8Mg6

A relaxed LaPm8Mg6 crystal (GGA-PBE, the Alexandria database).

Space group ... R-3
E ... -3.3439 eV/atom
Mass density ... 4.84 Mg/m³

Cell lengths 8.5170, 8.5170, 8.5170 Å; angles 66.27, 66.27, 66.27 degrees
Atoms (fractional coordinates):
La 0.0000 0.0000 0.0000
Pm 0.1211 0.7879 0.4473
Pm 0.2121 0.5527 0.8789
Pm 0.3334 0.3334 0.3334
Pm 0.4473 0.1211 0.7879
Pm 0.5527 0.8789 0.2121
Pm 0.6666 0.6666 0.6666
Pm 0.7879 0.4473 0.1211
Pm 0.8789 0.2121 0.5527
Mg 0.0464 0.3845 0.7097
Mg 0.2903 0.9536 0.6155
Mg 0.3845 0.7097 0.0464
Mg 0.6155 0.2903 0.9536
Mg 0.7097 0.0464 0.3845
Mg 0.9536 0.6155 0.2903

---

Record 3
# Ca3Zn4Pd4

A relaxed Ca3Zn4Pd4 crystal (GGA-PBE, the Alexandria database).

Energy above the most stable polymorph in this dataset ... 0.00 eV per formula unit
Space group ... P-1
E ... -3.4534 eV/atom
Mass density ... 5.93 Mg/m³

Cell lengths 3.9130, 4.2556, 13.8680 Å; angles 81.51, 81.96, 89.88 degrees
Atoms (fractional coordinates):
Ca 0.0000 0.0000 0.0000
Ca 0.1483 0.6475 0.7069
Ca 0.8517 0.3525 0.2931
Zn 0.2522 0.2540 0.4951
Zn 0.3990 0.9017 0.1954
Zn 0.6010 0.0983 0.8046
Zn 0.7478 0.7460 0.5049
Pd 0.3088 0.8086 0.3815
Pd 0.4464 0.4467 0.1000
Pd 0.5536 0.5533 0.9000
Pd 0.6912 0.1914 0.6185

---

Record 4
# Ho2ErBi

A relaxed Ho2ErBi crystal (GGA-PBE, the Alexandria database).

Energy above the most stable polymorph in this dataset ... 0.00 eV per formula unit
Space group ... Cmcm
E ... -4.7930 eV/atom
Mass density ... 9.86 Mg/m³

Cell lengths 11.4724, 11.4724, 4.5768 Å; angles 90.00, 90.00, 156.74 degrees
Atoms (fractional coordinates):
Ho 0.0591 0.9409 0.7500
Ho 0.4392 0.5608 0.7500
Ho 0.5608 0.4392 0.2500
Ho 0.9409 0.0591 0.2500
Er 0.3100 0.6900 0.2500
Er 0.6900 0.3100 0.7500
Bi 0.1699 0.8301 0.2500
Bi 0.8301 0.1699 0.7500

---

Record 5
# LiInAgPd

A relaxed LiInAgPd crystal (GGA-PBE, the Alexandria database).

Energy above the most stable polymorph in this dataset ... 0.02 eV per formula unit
Space group ... Cm
E ... -3.5598 eV/atom
Mass density ... 8.20 Mg/m³

Cell lengths 4.6351, 4.6351, 4.4789 Å; angles 118.75, 118.75, 57.78 degrees
Atoms (fractional coordinates):
Li 0.0000 0.0000 0.0000
In 0.5000 0.5000 0.5001
Ag 0.2500 0.2500 0.7508
Pd 0.7500 0.7500 0.2493

---

Record 6
# SiAgAs2

A relaxed SiAgAs2 crystal (GGA-PBE, the Alexandria database).

Space group ... I-4m2
E ... -3.9245 eV/atom
Mass density ... 6.36 Mg/m³
Uncorrected formation energy ... 181 kJ/mol of formula units

Cell lengths 5.5731, 5.5731, 5.5731 Å; angles 138.72, 138.72, 59.80 degrees
Atoms (fractional coordinates):
Si 0.0000 0.0000 0.0000
Ag 0.2500 0.7500 0.5000
As 0.5000 0.5000 0.0000
As 0.7500 0.2500 0.5000

---

Record 7
# MnTeRu2

A relaxed MnTeRu2 crystal (GGA-PBE, the Alexandria database).

Space group ... R3m
E ... -7.1871 eV/atom
Mass density ... 9.74 Mg/m³
Uncorrected formation energy ... 204 kJ/mol of formula units

Cell lengths 8.5509, 8.5509, 8.5509 Å; angles 20.26, 20.26, 20.26 degrees
Atoms (fractional coordinates):
Mn 0.0000 0.0000 0.0000
Te 0.2448 0.2448 0.2448
Ru 0.4926 0.4926 0.4926
Ru 0.7439 0.7439 0.7439

---

Record 8
# ScTa2Hg

A relaxed ScTa2Hg crystal (GGA-PBE, the Alexandria database).

Space group ... I-42d
E ... -6.8381 eV/atom
Mass density ... 11.80 Mg/m³

Cell lengths 6.2130, 6.2130, 6.2130 Å; angles 101.35, 101.35, 127.34 degrees
Atoms (fractional coordinates):
Sc 0.0000 0.0000 0.0000
Sc 0.7500 0.2500 0.5000
Ta 0.1422 0.6250 0.0172
Ta 0.3750 0.3922 0.5172
Ta 0.6078 0.1250 0.9828
Ta 0.8750 0.8578 0.4828
Hg 0.2500 0.7500 0.5000
Hg 0.5000 0.5000 0.0000

---

Which of these has the lowest E? MnTeRu2

---

Which formula does entry 4 have? Ho2ErBi

---

Look up the mass density of the sixth one. 6.36 Mg/m³

---

E of number 1 (CsTaSn3)? -2.5017 eV/atom